A geometry-optimized ZnPb2Se structure, computed with PBE.

abc: 7.473 7.473 7.473
angles: 90.00 90.00 90.00
Space group Fm-3m (No. 225)
One atom of each set of equivalent atoms:
Zn1 0.000 0.000 0.000 (multiplicity 4)
Pb1 0.250 0.250 0.250 (multiplicity 8)
Se1 0.000 0.000 0.500 (multiplicity 4)

Properties
The relative energy among the computed polymorphs is 0.205 eV/atom. The density of states at the Fermi level comes out at 3.052 states/eV/f.u. For the size of the total moment, the calculation gives 0.00 μB/cell.

=====

A geometry-optimized ScZn12 structure, computed with PBE.

abc: 10.507 10.507 10.507
angles: 90.00 90.00 90.00
Space group Fm-3m (No. 225)
One atom of each set of equivalent atoms:
Sc1 0.000 0.000 0.000 (multiplicity 4)
Zn1 0.000 0.170 0.330 (multiplicity 48)

Properties
The relative energy among the computed polymorphs is 0.531 eV/atom. Its formation enthalpy at 0 K is 407 meV per atom. The density of states at the Fermi level comes out at 7.644 states/eV/f.u. For the size of the total moment, the calculation gives 2.19 μB/cell.

=====

A geometry-optimized TlCoIBr2 structure, computed with PBE.

abc: 5.132 5.132 5.565
angles: 90.00 90.00 90.00
Space group P4/mmm (No. 123)
One atom of each set of equivalent atoms:
Tl1 0.000 0.000 0.000 (multiplicity 1)
Co1 0.500 0.500 0.500 (multiplicity 1)
I1 0.500 0.500 0.000 (multiplicity 1)
Br1 0.000 0.500 0.500 (multiplicity 2)

Properties
The density of states at the Fermi level comes out at 8.405 states/eV/f.u. For the size of the total moment, the calculation gives 2.37 μB/cell. For the total energy, the calculation gives -3.161 eV/atom.

=====

A geometry-optimized CaTaNb2Se structure, computed with PBE.

abc: 4.812 4.812 4.858
angles: 90.00 90.00 90.00
Space group P4/mmm (No. 123)
One atom of each set of equivalent atoms:
Ca1 0.000 0.000 0.000 (multiplicity 1)
Ta1 0.500 0.500 0.500 (multiplicity 1)
Nb1 0.000 0.500 0.000 (multiplicity 2)
Se1 0.000 0.000 0.500 (multiplicity 1)

Properties
The relative energy among the computed polymorphs is 0.960 eV/atom. The density of states at the Fermi level comes out at 6.995 states/eV/f.u. For the size of the total moment, the calculation gives 0.00 μB/cell.